# 1
Density functional theory data (PBE) for a relaxed USn2Cl5F4 crystal.

DOS at the Fermi energy = 5.98 states/eV/f.u.
E_tot = -4.858 eV per atom
Calculated volume = 23.498 Å³ per atom
Space-group type = Amm2
Raw formation energy = -1857 meV/atom

```
USn2Cl5F4
1.0
6.5378 0.0000 0.0000
0.0000 7.8636 2.7424
0.0000 -7.8636 2.7424
U Sn Cl F
1 2 5 4
Direct
0.0000 0.0000 0.0000
0.5000 0.3665 0.6897
0.5000 0.6897 0.3665
0.2472 0.0685 0.7185
0.2472 0.7185 0.0685
0.5000 0.2480 0.2480
0.7528 0.0685 0.7185
0.7528 0.7185 0.0685
0.0000 0.2003 0.3687
0.0000 0.3687 0.2003
0.2108 0.7229 0.7229
0.7892 0.7229 0.7229
```


# 2
Density functional theory data (PBE) for a relaxed PmEr2Sc4 crystal.

DOS at the Fermi energy = 13.68 states/eV/f.u.
E_tot = -5.371 eV per atom
Calculated volume = 29.046 Å³ per atom
Offset from the most stable computed form = 0.00 kcal/mol of atoms
Space-group type = C2/m

```
PmEr2Sc4
1.0
3.1297 -5.7001 0.0000
3.1297 5.7001 0.0000
-3.1234 0.0000 5.6986
Pm Er Sc
1 2 4
Direct
0.0000 0.0000 0.0000
0.2498 0.7502 0.5000
0.7502 0.2498 0.5000
0.3072 0.6928 0.0000
0.3078 0.3078 0.6151
0.6922 0.6922 0.3849
0.6928 0.3072 0.0000
```


# 3
Density functional theory data (PBE) for a relaxed CeZn4Rh crystal.

DOS at the Fermi energy = 7.01 states/eV/f.u.
E_tot = -3.388 eV per atom
Calculated volume = 16.778 Å³ per atom
Offset from the most stable computed form = 1.44 kcal/mol of atoms
Space-group type = F-43m

```
CeZn4Rh
1.0
0.0000 3.6922 3.6922
3.6922 0.0000 3.6922
3.6922 3.6922 0.0000
Ce Zn Rh
1 4 1
Direct
0.0000 0.0000 0.0000
0.1303 0.6232 0.6232
0.6232 0.1303 0.6232
0.6232 0.6232 0.1303
0.6232 0.6232 0.6232
0.2500 0.2500 0.2500
```


# 4
Density functional theory data (PBE) for a relaxed Ce6In2Ga crystal.

DOS at the Fermi energy = 22.52 states/eV/f.u.
E_tot = -5.148 eV per atom
Calculated volume = 24.148 Å³ per atom
Offset from the most stable computed form = 0.00 kcal/mol of atoms
Space-group type = P6/mmm

```
Ce6In2Ga
1.0
9.0828 0.0000 0.0000
-4.5414 7.8659 0.0000
0.0000 0.0000 3.0420
Ce In Ga
6 2 1
Direct
0.0000 0.3176 0.0000
0.0000 0.6824 0.0000
0.3176 0.0000 0.0000
0.3176 0.3176 0.0000
0.6824 0.0000 0.0000
0.6824 0.6824 0.0000
0.3333 0.6667 0.5000
0.6667 0.3333 0.5000
0.0000 0.0000 0.5000
```


Taking the records one at a time from the top gives magnetization values of 0.973 3.137 0.944 2.338 Bohr magnetons per cell.